[1]
The following is a meta-GGA SCAN calculation of ReIrN3 at its PBEsol-relaxed geometry, from Alexandria via LeMat-Bulk.

Lattice parameters (Å, degrees): 3.8195 3.8195 3.8195 90.00 90.00 90.00
Site moments in Bohr magnetons follow the coordinates.
Fractional positions:
N 0.5000 0.0000 0.0000  -0.28
Ir 0.0000 0.0000 0.0000  -0.21
N 0.0000 0.5000 0.0000  -0.28
Re 0.5000 0.5000 0.5000  2.22
N 0.0000 0.0000 0.5000  -0.28

Computed properties:
energy relative to the elements, uncorrected: 2.054 eV per atom
VASP energy: -159.80 eV for the cell shown
N(E_F): 3.35 states/eV per cell
total magnetization: 1.29 μB/f.u.

---

[2]
The following is a meta-GGA SCAN calculation of Cr3MoRh at its PBEsol-relaxed geometry, from Alexandria via LeMat-Bulk.

Lattice parameters (Å, degrees): 4.4848 4.4848 4.4848 90.00 90.00 90.00
Site moments in Bohr magnetons follow the coordinates.
Fractional positions:
Rh 0.0000 0.0000 0.0000  -0.34
Cr 0.5000 0.0000 0.0000  3.29
Mo 0.5000 0.5000 0.5000  -3.33
Cr 0.0000 0.0000 0.5000  3.29
Cr 0.0000 0.5000 0.0000  3.29

Computed properties:
VASP energy: -117.27 eV for the cell shown
N(E_F): 4.35 states/eV per cell
energy of formation: 1.308 eV per atom
total magnetization: 6.41 μB/f.u.

---

[3]
The following is a meta-GGA SCAN calculation of CaGaSeN2 at its PBEsol-relaxed geometry, from Alexandria via LeMat-Bulk.

Lattice parameters (Å, degrees): 3.9880 3.9880 5.2001 90.00 90.00 90.00
Site moments in Bohr magnetons follow the coordinates.
Fractional positions:
Se 0.0000 0.0000 0.5000  0.20
Ca 0.5000 0.5000 0.5000  -0.01
N 0.5000 0.0000 0.0000  1.02
N 0.0000 0.5000 0.0000  1.02
Ga 0.0000 0.0000 0.0000  -0.07

Computed properties:
energy relative to the elements, uncorrected: 0.153 eV per atom
VASP energy: -63.90 eV for the cell shown
N(E_F): 1.08 states/eV per cell
energy relative to the lowest polymorph listed for this composition: 0.00 kcal/mol of atoms
total magnetization: 3.00 μB/f.u.

---

[4]
The following is a meta-GGA SCAN calculation of ZrCu2Ir at its PBEsol-relaxed geometry, from Alexandria via LeMat-Bulk.

Lattice parameters (Å, degrees): 2.7267 2.7267 9.1459 81.43 81.43 60.00
Fractional positions:
Zr 0.0000 0.0000 0.0000
Ir 0.5000 0.5000 0.5000
Cu 0.2445 0.2445 0.2664
Cu 0.7555 0.7555 0.7336

Computed properties:
VASP energy: -131.45 eV for the cell shown
N(E_F): 3.51 states/eV per cell
energy relative to the lowest polymorph listed for this composition: 15.43 kcal/mol of atoms
energy of formation: 0.187 eV per atom
total magnetization: 0.00 μB/f.u.

---

[5]
The following is a meta-GGA SCAN calculation of Ba8Li at its PBEsol-relaxed geometry, from Alexandria via LeMat-Bulk.

Lattice parameters (Å, degrees): 6.3943 9.3767 9.3767 83.32 70.06 70.06
Fractional positions:
Ba 0.6613 0.0000 0.6775
Ba 0.6780 0.3220 0.3220
Li 0.0000 0.0000 0.0000
Ba 0.6613 0.6775 0.0000
Ba 0.0000 0.3220 0.6780
Ba 0.3387 0.0000 0.3225
Ba 0.0000 0.6780 0.3220
Ba 0.3220 0.6780 0.6780
Ba 0.3387 0.3225 0.0000

Computed properties:
VASP energy: -318.26 eV for the cell shown
N(E_F): 9.30 states/eV per cell
energy of formation: 0.060 eV per atom
total magnetization: 0.92 μB/f.u.

---

[6]
The following is a meta-GGA SCAN calculation of MnZnNiP2O9 at its PBEsol-relaxed geometry, from Alexandria via LeMat-Bulk.

Lattice parameters (Å, degrees): 6.0619 7.2251 13.9077 90.00 90.00 90.00
Site moments in Bohr magnetons follow the coordinates.
Fractional positions:
O 0.7500 0.2207 0.2627  0.02
O 0.7500 0.0186 0.9959  0.04
O 0.4433 0.3651 0.3620  0.01
O 0.9433 0.8651 0.1380  0.01
Ni 0.0000 0.5000 0.0000  1.70
O 0.2500 0.8584 0.5481  0.24
Mn 0.7500 0.3430 0.3824  2.65
O 0.7500 0.3584 0.9519  0.24
P 0.2500 0.1407 0.9347  0.01
O 0.0339 0.5989 0.8601  0.04
P 0.7500 0.3997 0.1994  0.01
Zn 0.7500 0.8371 0.2852  0.00
O 0.0567 0.1349 0.8620  0.01
Ni 0.5000 0.0000 0.5000  1.70
P 0.2500 0.6003 0.8006  0.01
O 0.2500 0.7207 0.2373  0.02
O 0.2500 0.3270 0.9888  0.07
O 0.9433 0.6349 0.6380  0.01
O 0.2500 0.0585 0.2240  0.00
O 0.7500 0.5585 0.2760  0.00
O 0.0339 0.9011 0.3601  0.04
O 0.5339 0.4011 0.1399  0.04
O 0.7500 0.9415 0.7760  0.00
O 0.2500 0.4415 0.7240  0.00
P 0.7500 0.1003 0.6994  0.01
O 0.9661 0.4011 0.1399  0.04
Zn 0.2500 0.1629 0.7148  0.00
O 0.7500 0.2793 0.7627  0.02
Ni 0.5000 0.5000 0.0000  1.70
Mn 0.2500 0.6570 0.6176  2.65
O 0.5339 0.0989 0.6399  0.04
O 0.4661 0.5989 0.8601  0.04
O 0.0567 0.3651 0.3620  0.01
O 0.7500 0.4814 0.4959  0.04
O 0.2500 0.9814 0.0041  0.04
O 0.2500 0.7793 0.7373  0.02
O 0.9661 0.0989 0.6399  0.04
O 0.2500 0.6416 0.0481  0.24
O 0.7500 0.6730 0.0112  0.07
O 0.5567 0.6349 0.6380  0.01
O 0.7500 0.1416 0.4519  0.24
P 0.2500 0.8997 0.3006  0.01
O 0.2500 0.5186 0.5041  0.04
P 0.7500 0.8593 0.0653  0.01
O 0.4661 0.9011 0.3601  0.04
P 0.2500 0.3593 0.4347  0.01
Zn 0.7500 0.6629 0.7852  0.00
Mn 0.7500 0.1570 0.8824  2.65
Ni 0.0000 0.0000 0.5000  1.70
O 0.7500 0.8270 0.5112  0.07
Mn 0.2500 0.8430 0.1176  2.65
Zn 0.2500 0.3371 0.2148  0.00
O 0.4433 0.1349 0.8620  0.01
P 0.7500 0.6407 0.5653  0.01
O 0.2500 0.1730 0.4888  0.07
O 0.5567 0.8651 0.1380  0.01

Computed properties:
energy relative to the elements, uncorrected: -2.102 eV per atom
VASP energy: -617.00 eV for the cell shown
N(E_F): 0.72 states/eV per cell
total magnetization: 5.00 μB/f.u.

---

[7]
The following is a meta-GGA SCAN calculation of Rb2PtAu at its PBEsol-relaxed geometry, from Alexandria via LeMat-Bulk.

Lattice parameters (Å, degrees): 5.4971 5.4971 5.4971 60.00 60.00 60.00
Site moments in Bohr magnetons follow the coordinates.
Fractional positions:
Pt 0.0000 0.0000 0.0000  -0.74
Rb 0.2500 0.2500 0.2500  0.00
Au 0.5000 0.5000 0.5000  -0.10
Rb 0.7500 0.7500 0.7500  0.00

Computed properties:
VASP energy: -179.84 eV for the cell shown
N(E_F): 3.52 states/eV per cell
energy of formation: 0.246 eV per atom
total magnetization: 0.88 μB/f.u.

---

[8]
The following is a meta-GGA SCAN calculation of YCo2Au at its PBEsol-relaxed geometry, from Alexandria via LeMat-Bulk.

Lattice parameters (Å, degrees): 3.0264 3.0264 8.3743 79.59 79.59 60.00
Site moments in Bohr magnetons follow the coordinates.
Fractional positions:
Co 0.7465 0.7465 0.7606  1.83
Au 0.0000 0.0000 0.0000  0.05
Co 0.2535 0.2535 0.2394  1.83
Y 0.5000 0.5000 0.5000  -0.28

Computed properties:
VASP energy: -129.79 eV for the cell shown
N(E_F): 2.67 states/eV per cell
energy relative to the lowest polymorph listed for this composition: 13.37 kcal/mol of atoms
energy of formation: 0.456 eV per atom
total magnetization: 3.41 μB/f.u.

---

[9]
The following is a meta-GGA SCAN calculation of CoSN2 at its PBEsol-relaxed geometry, from Alexandria via LeMat-Bulk.

Lattice parameters (Å, degrees): 2.8564 2.8564 5.6619 75.39 75.39 60.00
Fractional positions:
S 0.0000 0.0000 0.0000
N 0.1071 0.1071 0.6788
N 0.8929 0.8929 0.3212
Co 0.5000 0.5000 0.5000

Computed properties:
energy relative to the elements, uncorrected: 0.603 eV per atom
VASP energy: -43.10 eV for the cell shown
N(E_F): 2.40 states/eV per cell
total magnetization: 0.00 μB/f.u.

---

[10]
The following is a meta-GGA SCAN calculation of CeTl at its PBEsol-relaxed geometry, from Alexandria via LeMat-Bulk.

Lattice parameters (Å, degrees): 3.3476 3.3476 4.6564 90.00 90.00 90.00
Site moments in Bohr magnetons follow the coordinates.
Fractional positions:
Tl 0.0000 0.0000 0.0000  -0.01
Ce 0.5000 0.5000 0.5000  1.11

Computed properties:
VASP energy: -117.80 eV for the cell shown
N(E_F): 3.78 states/eV per cell
energy of formation: -0.437 eV per atom
total magnetization: 1.42 μB/f.u.